No. 1
A relaxed structure of ScZnHg, computed with PBE-GGA.

## Properties
Energy relative to the elements: -0.3258 eV/atom
Total energy: -2.962 eV per atom
Crystal system: hexagonal

Cell: 4.600 4.600 3.227 Å, 90.00 90.00 120.00°
Fractional coordinates of all 3 atoms:
Sc1 0.667 0.333 0.333
Zn1 0.333 0.667 0.834
Hg1 0.000 0.000 0.833

No. 2
A relaxed structure of PrP4N8, computed with PBE-GGA.

## Properties
E_form (uncorrected): -0.42 eV/atom
Total energy: -7.579 eV per atom
Crystal system: trigonal

Cell: 4.979 4.979 8.221 Å, 90.00 90.00 120.00°
Fractional coordinates of all 13 atoms:
N1 0.000 0.623 0.254
N2 0.377 0.000 0.746
N3 0.623 0.000 0.254
N4 0.333 0.667 0.000
N5 0.000 0.377 0.746
N6 0.377 0.377 0.254
N7 0.623 0.623 0.746
N8 0.667 0.333 0.000
P1 0.333 0.667 0.200
P2 0.667 0.333 0.800
P3 0.667 0.333 0.200
P4 0.333 0.667 0.800
Pr1 0.000 0.000 0.000

No. 3
A relaxed structure of RbNa2GaAu, computed with PBE-GGA.

## Properties
Energy relative to the elements: -0.0908 eV/atom
Excess energy over the best structure of this formula in the dataset: 59 meV per atom
Total energy: -2.073 eV per atom
Crystal system: tetragonal

Cell: 5.832 5.832 4.943 Å, 90.00 90.00 90.00°
Fractional coordinates of all 5 atoms:
Ga1 0.000 0.000 0.000
Na1 0.500 0.000 0.000
Na2 0.000 0.500 0.000
Rb1 0.500 0.500 0.500
Au1 0.000 0.000 0.500

No. 4
A relaxed structure of Mg3SnI8, computed with PBE-GGA.

## Properties
E_form (uncorrected): -0.90 eV/atom
Total energy: -2.663 eV per atom
Crystal system: monoclinic

Cell: 8.641 8.638 9.245 Å, 118.70 90.00 120.01°
Fractional coordinates of all 12 atoms:
I1 0.740 0.480 0.215
I2 0.277 0.024 0.776
I3 0.254 0.976 0.224
I4 0.260 0.520 0.785
I5 0.723 0.976 0.224
I6 0.746 0.492 0.776
I7 0.254 0.508 0.224
I8 0.746 0.024 0.776
Sn1 0.000 0.000 0.000
Mg1 0.000 0.500 0.000
Mg2 0.500 0.000 0.000
Mg3 0.500 0.500 0.000

No. 5
A relaxed structure of Sm6CdSn, computed with PBE-GGA.

## Properties
Energy relative to the elements: -0.2714 eV/atom
Total energy: -4.425 eV per atom
Crystal system: tetragonal

Cell: 4.927 4.927 9.802 Å, 90.00 90.00 90.00°
Fractional coordinates of all 8 atoms:
Sm1 0.000 0.500 0.747
Sm2 0.500 0.500 0.500
Sm3 0.500 0.000 0.253
Sm4 0.500 0.500 0.000
Sm5 0.500 0.000 0.747
Sm6 0.000 0.500 0.253
Sn1 0.000 0.000 0.500
Cd1 0.000 0.000 0.000

No. 6
A relaxed structure of Bi2Se2Cl, computed with PBE-GGA.

## Properties
E_form (uncorrected): -0.44 eV/atom
Excess energy over the best structure of this formula in the dataset: 0 meV per atom
Total energy: -3.754 eV per atom
Crystal system: tetragonal

Cell: 4.317 4.317 9.067 Å, 103.77 103.77 90.00°
Fractional coordinates of all 5 atoms:
Bi1 0.838 0.838 0.676
Bi2 0.162 0.162 0.324
Cl1 0.000 0.000 0.000
Se1 0.333 0.333 0.665
Se2 0.667 0.667 0.335

No. 7
A relaxed structure of NpMnBe4, computed with PBE-GGA.

## Properties
Energy relative to the elements: 0.1784 eV/atom
Total energy: -5.991 eV per atom
Crystal system: cubic

Cell: 4.612 4.612 4.612 Å, 60.00 60.00 60.00°
Fractional coordinates of all 6 atoms:
Be1 0.627 0.118 0.627
Be2 0.118 0.627 0.627
Be3 0.627 0.627 0.627
Be4 0.627 0.627 0.118
Mn1 0.000 0.000 0.000
Np1 0.250 0.250 0.250

No. 8
A relaxed structure of ZrSi2Hg, computed with PBE-GGA.

## Properties
E_form (uncorrected): -0.06 eV/atom
Excess energy over the best structure of this formula in the dataset: 44 meV per atom
Total energy: -4.988 eV per atom
Crystal system: orthorhombic

Cell: 4.125 4.638 3.794 Å, 90.00 90.00 90.00°
Fractional coordinates of all 4 atoms:
Hg1 0.000 0.500 0.500
Si1 0.000 0.000 0.000
Si2 0.500 0.500 0.000
Zr1 0.500 0.000 0.500

No. 9
A relaxed structure of NaVBr3, computed with PBE-GGA.

## Properties
E_form (uncorrected): -0.90 eV/atom
Excess energy over the best structure of this formula in the dataset: 154 meV per atom
Total energy: -3.991 eV per atom
Crystal system: cubic

Cell: 5.247 5.247 5.247 Å, 90.00 90.00 90.00°
Fractional coordinates of all 5 atoms:
V1 0.000 0.000 0.000
Br1 0.000 0.500 0.000
Br2 0.500 0.000 0.000
Br3 0.000 0.000 0.500
Na1 0.500 0.500 0.500

No. 10
A relaxed structure of Tl2NiPdS2, computed with PBE-GGA.

## Properties
E_form (uncorrected): -0.22 eV/atom
Total energy: -4.215 eV per atom
Crystal system: orthorhombic

Cell: 5.741 5.754 8.993 Å, 108.66 108.61 90.00°
Fractional coordinates of all 12 atoms:
Pd1 0.000 0.250 0.000
Pd2 0.000 0.750 0.000
Tl1 0.611 0.836 0.673
Tl2 0.389 0.164 0.327
Tl3 0.062 0.336 0.673
Tl4 0.938 0.664 0.327
S1 0.212 0.920 0.840
S2 0.788 0.080 0.160
S3 0.628 0.420 0.840
S4 0.372 0.580 0.160
Ni1 0.500 0.250 0.000
Ni2 0.500 0.750 0.000

No. 11
A relaxed structure of SiHgMo, computed with PBE-GGA.

## Properties
E_form (uncorrected): 0.17 eV/atom
Excess energy over the best structure of this formula in the dataset: 150 meV per atom
Total energy: -5.346 eV per atom
Crystal system: orthorhombic

Cell: 2.768 5.163 4.233 Å, 90.00 90.00 90.00°
Fractional coordinates of all 3 atoms:
Hg1 0.500 0.000 0.000
Si1 0.500 0.500 0.500
Mo1 0.000 0.500 0.000

No. 12
A relaxed structure of CrIrCl2, computed with PBE-GGA.

## Properties
E_form (uncorrected): 0.42 eV/atom
Excess energy over the best structure of this formula in the dataset: 598 meV per atom
Total energy: -5.128 eV per atom
Crystal system: orthorhombic

Cell: 2.989 5.576 4.078 Å, 90.00 90.00 90.00°
Fractional coordinates of all 4 atoms:
Cr1 0.500 0.000 0.500
Cl1 0.000 0.000 0.000
Cl2 0.500 0.500 0.000
Ir1 0.000 0.500 0.500